Record 1
VASP calculation (PBE-GGA) on a relaxed structure of Tc3IrCl.

Geometry as POSCAR:
```
Tc3IrCl
1.0
4.808 0.000 0.000
0.000 4.808 0.000
0.000 0.000 4.808
Tc Ir Cl
3 1 1
Direct
0.000 0.000 0.500
0.000 0.500 0.000
0.500 0.000 0.000
0.000 0.000 0.000
0.500 0.500 0.500
```

Values from the calculation:
offset from the most stable computed form: 3.251 eV per formula unit
VASP energy: -32.7 eV per cell
space-group type: Pm-3m (221)
formation energy (no corrections): 1.8270 eV/atom
M_tot: 4.99 μB/cell


Record 2
VASP calculation (PBE-GGA) on a relaxed structure of Tc2IrCl.

Geometry as POSCAR:
```
Tc2IrCl
1.0
2.793 0.000 0.000
0.000 2.793 0.000
0.000 0.000 7.548
Tc Ir Cl
2 1 1
Direct
0.000 0.000 0.250
0.000 0.000 0.750
0.500 0.500 0.000
0.500 0.500 0.500
```

Values from the calculation:
offset from the most stable computed form: 0.734 eV per formula unit
VASP energy: -29.7 eV per cell
space-group type: P4/mmm (123)
formation energy (no corrections): 0.4372 eV/atom
M_tot: 0.00 μB/cell


Record 3
VASP calculation (PBE-GGA) on a relaxed structure of TcIrCl2.

Geometry as POSCAR:
```
TcIrCl2
1.0
12.887 0.000 0.000
0.000 2.957 0.000
-0.514 0.000 4.662
Tc Ir Cl
2 2 4
Direct
0.000 0.000 0.000
0.500 0.500 0.000
0.000 0.500 0.500
0.500 0.000 0.500
0.136 0.500 0.213
0.364 0.000 0.787
0.636 0.000 0.213
0.864 0.500 0.787
```

Values from the calculation:
offset from the most stable computed form: 1.369 eV per formula unit
VASP energy: -43.7 eV per cell
space-group type: C2/m (12)
formation energy (no corrections): 0.2723 eV/atom
M_tot: 1.60 μB/cell


Record 4
VASP calculation (PBE-GGA) on a relaxed structure of TcIr2Cl.

Geometry as POSCAR:
```
TcIr2Cl
1.0
2.789 0.000 0.000
0.000 2.789 0.000
0.000 0.000 8.670
Tc Ir Cl
1 2 1
Direct
0.000 0.000 0.000
0.000 0.000 0.571
0.500 0.500 0.791
0.500 0.500 0.189
```

Values from the calculation:
offset from the most stable computed form: 0.352 eV per formula unit
VASP energy: -28.4 eV per cell
space-group type: P4mm (99)
formation energy (no corrections): 0.3960 eV/atom
M_tot: 0.00 μB/cell


Record 5
VASP calculation (PBE-GGA) on a relaxed structure of TcIrCl2.

Geometry as POSCAR:
```
TcIrCl2
1.0
2.834 0.000 0.000
0.000 5.282 0.000
0.000 0.000 8.671
Tc Ir Cl
2 2 4
Direct
0.000 0.000 0.000
0.500 0.500 0.000
0.000 0.000 0.500
0.500 0.500 0.500
0.000 0.500 0.226
0.000 0.500 0.774
0.500 0.000 0.226
0.500 0.000 0.774
```

Values from the calculation:
offset from the most stable computed form: 3.318 eV per formula unit
VASP energy: -39.8 eV per cell
space-group type: Cmmm (65)
formation energy (no corrections): 0.7595 eV/atom
M_tot: 0.00 μB/cell


Record 6
VASP calculation (PBE-GGA) on a relaxed structure of TcIrCl2.

Geometry as POSCAR:
```
TcIrCl2
1.0
4.417 0.000 0.000
0.000 4.417 0.000
0.000 0.000 6.196
Tc Ir Cl
2 2 4
Direct
0.000 0.000 0.000
0.500 0.500 0.500
0.000 0.000 0.500
0.500 0.500 0.000
0.000 0.500 0.250
0.000 0.500 0.750
0.500 0.000 0.250
0.500 0.000 0.750
```

Values from the calculation:
offset from the most stable computed form: 5.051 eV per formula unit
VASP energy: -36.3 eV per cell
space-group type: I4/mmm (139)
formation energy (no corrections): 1.1928 eV/atom
M_tot: 0.00 μB/cell


Record 7
VASP calculation (PBE-GGA) on a relaxed structure of Tc3IrCl.

Geometry as POSCAR:
```
Tc3IrCl
1.0
4.289 0.000 0.000
0.000 4.289 0.000
0.000 0.000 4.289
Tc Ir Cl
3 1 1
Direct
0.000 0.000 0.500
0.000 0.500 0.000
0.500 0.000 0.000
0.500 0.500 0.500
0.000 0.000 0.000
```

Values from the calculation:
offset from the most stable computed form: 0.000 eV per formula unit
VASP energy: -35.9 eV per cell
space-group type: Pm-3m (221)
formation energy (no corrections): 1.1769 eV/atom
M_tot: 0.00 μB/cell


Record 8
VASP calculation (PBE-GGA) on a relaxed structure of TcIrCl2.

Geometry as POSCAR:
```
TcIrCl2
1.0
6.230 0.000 0.000
0.000 3.597 0.000
-0.448 0.000 8.662
Tc Ir Cl
2 2 4
Direct
0.000 0.000 0.000
0.500 0.500 0.000
0.157 0.500 0.861
0.657 0.000 0.861
0.137 0.500 0.603
0.347 0.000 0.189
0.637 0.000 0.603
0.847 0.500 0.189
```

Values from the calculation:
offset from the most stable computed form: 0.073 eV per formula unit
VASP energy: -46.3 eV per cell
space-group type: Cm (8)
formation energy (no corrections): -0.0518 eV/atom
M_tot: 0.00 μB/cell


Record 9
VASP calculation (PBE-GGA) on a relaxed structure of TcIrCl2.

Geometry as POSCAR:
```
TcIrCl2
1.0
2.845 0.000 0.000
0.000 5.304 0.000
0.000 0.000 9.898
Tc Ir Cl
2 2 4
Direct
0.000 0.000 0.000
0.500 0.500 0.000
0.000 0.500 0.224
0.500 0.000 0.224
0.000 0.000 0.434
0.000 0.500 0.803
0.500 0.000 0.803
0.500 0.500 0.434
```

Values from the calculation:
offset from the most stable computed form: 1.788 eV per formula unit
VASP energy: -42.8 eV per cell
space-group type: Cmm2 (35)
formation energy (no corrections): 0.3769 eV/atom
M_tot: 1.94 μB/cell


Record 10
VASP calculation (PBE-GGA) on a relaxed structure of TcIr2Cl.

Geometry as POSCAR:
```
TcIr2Cl
1.0
2.768 0.000 0.000
0.000 4.643 0.000
0.000 0.000 4.741
Tc Ir Cl
1 2 1
Direct
0.000 0.000 0.000
0.000 0.500 0.500
0.500 0.000 0.500
0.500 0.500 0.000
```

Values from the calculation:
offset from the most stable computed form: 2.071 eV per formula unit
VASP energy: -26.6 eV per cell
space-group type: Pmmm (47)
formation energy (no corrections): 0.8257 eV/atom
M_tot: 1.27 μB/cell


Record 11
VASP calculation (PBE-GGA) on a relaxed structure of TcIrCl2.

Geometry as POSCAR:
```
TcIrCl2
1.0
2.963 0.000 0.000
0.000 2.963 0.000
0.000 0.000 8.725
Tc Ir Cl
1 1 2
Direct
0.000 0.000 0.000
0.500 0.500 0.824
0.000 0.000 0.615
0.500 0.500 0.196
```

Values from the calculation:
offset from the most stable computed form: 0.596 eV per formula unit
VASP energy: -22.6 eV per cell
space-group type: P4mm (99)
formation energy (no corrections): 0.0790 eV/atom
M_tot: 0.00 μB/cell


Record 12
VASP calculation (PBE-GGA) on a relaxed structure of TcIr2Cl.

Geometry as POSCAR:
```
TcIr2Cl
1.0
4.018 0.000 0.000
0.000 4.018 0.000
0.000 0.000 7.503
Tc Ir Cl
2 4 2
Direct
0.000 0.000 0.000
0.500 0.500 0.500
0.000 0.500 0.250
0.000 0.500 0.750
0.500 0.000 0.250
0.500 0.000 0.750
0.000 0.000 0.500
0.500 0.500 0.000
```

Values from the calculation:
offset from the most stable computed form: 2.499 eV per formula unit
VASP energy: -52.4 eV per cell
space-group type: I4/mmm (139)
formation energy (no corrections): 0.9326 eV/atom
M_tot: 0.00 μB/cell


Record 13
VASP calculation (PBE-GGA) on a relaxed structure of TcIr4Cl.

Geometry as POSCAR:
```
TcIr4Cl
1.0
0.000 3.681 3.681
3.681 0.000 3.681
3.681 3.681 0.000
Tc Ir Cl
1 4 1
Direct
0.000 0.000 0.000
0.375 0.375 0.375
0.375 0.375 0.876
0.375 0.876 0.375
0.876 0.375 0.375
0.750 0.750 0.750
```

Values from the calculation:
VASP energy: -41.6 eV per cell
space-group type: F-43m (216)
formation energy (no corrections): 1.0169 eV/atom
M_tot: 0.47 μB/cell


Record 14
VASP calculation (PBE-GGA) on a relaxed structure of TcIr2Cl.

Geometry as POSCAR:
```
TcIr2Cl
1.0
2.796 0.000 0.000
0.000 3.672 0.000
0.000 0.000 6.490
Tc Ir Cl
1 2 1
Direct
0.000 0.000 0.000
0.000 0.000 0.402
0.500 0.500 0.195
0.000 0.500 0.717
```

Values from the calculation:
offset from the most stable computed form: 0.298 eV per formula unit
VASP energy: -28.4 eV per cell
space-group type: Pmm2 (25)
formation energy (no corrections): 0.3825 eV/atom
M_tot: 0.00 μB/cell


Record 15
VASP calculation (PBE-GGA) on a relaxed structure of TcIr3Cl.

Geometry as POSCAR:
```
TcIr3Cl
1.0
4.408 0.000 0.000
0.000 4.408 0.000
0.000 0.000 4.408
Tc Ir Cl
1 3 1
Direct
0.000 0.000 0.000
0.000 0.500 0.500
0.500 0.000 0.500
0.500 0.500 0.000
0.500 0.500 0.500
```

Values from the calculation:
offset from the most stable computed form: 0.000 eV per formula unit
VASP energy: -30.0 eV per cell
space-group type: Pm-3m (221)
formation energy (no corrections): 1.7583 eV/atom
M_tot: 3.99 μB/cell


Record 16
VASP calculation (PBE-GGA) on a relaxed structure of TcIr2Cl.

Geometry as POSCAR:
```
TcIr2Cl
1.0
2.798 0.000 0.000
0.000 4.739 0.000
0.000 0.000 9.093
Tc Ir Cl
2 4 2
Direct
0.000 0.000 0.000
0.500 0.500 0.500
0.000 0.000 0.480
0.000 0.500 0.248
0.500 0.000 0.748
0.500 0.500 0.980
0.000 0.500 0.721
0.500 0.000 0.221
```

Values from the calculation:
offset from the most stable computed form: 1.994 eV per formula unit
VASP energy: -53.4 eV per cell
space-group type: Imm2 (44)
formation energy (no corrections): 0.8065 eV/atom
M_tot: 0.00 μB/cell


Record 17
VASP calculation (PBE-GGA) on a relaxed structure of TcIr2Cl.

Geometry as POSCAR:
```
TcIr2Cl
1.0
9.741 0.000 0.000
0.000 2.807 0.000
-0.053 0.000 4.416
Tc Ir Cl
2 4 2
Direct
0.000 0.000 0.000
0.500 0.500 0.000
0.222 0.500 0.241
0.278 0.000 0.759
0.722 0.000 0.241
0.778 0.500 0.759
0.000 0.500 0.500
0.500 0.000 0.500
```

Values from the calculation:
offset from the most stable computed form: 0.975 eV per formula unit
VASP energy: -55.5 eV per cell
space-group type: C2/m (12)
formation energy (no corrections): 0.5517 eV/atom
M_tot: 0.00 μB/cell


Record 18
VASP calculation (PBE-GGA) on a relaxed structure of Tc2IrCl.

Geometry as POSCAR:
```
Tc2IrCl
1.0
6.186 0.000 0.000
0.000 6.186 0.000
0.000 0.000 6.186
Tc Ir Cl
8 4 4
Direct
0.250 0.250 0.250
0.250 0.250 0.750
0.250 0.750 0.250
0.250 0.750 0.750
0.750 0.250 0.250
0.750 0.250 0.750
0.750 0.750 0.250
0.750 0.750 0.750
0.000 0.000 0.000
0.000 0.500 0.500
0.500 0.000 0.500
0.500 0.500 0.000
0.000 0.000 0.500
0.000 0.500 0.000
0.500 0.000 0.000
0.500 0.500 0.500
```

Values from the calculation:
offset from the most stable computed form: 1.708 eV per formula unit
VASP energy: -114.9 eV per cell
space-group type: Fm-3m (225)
formation energy (no corrections): 0.6807 eV/atom
M_tot: 0.00 μB/cell


Record 19
VASP calculation (PBE-GGA) on a relaxed structure of TcIrCl2.

Geometry as POSCAR:
```
TcIrCl2
1.0
2.854 0.000 0.000
0.000 4.591 0.000
0.000 0.000 14.064
Tc Ir Cl
2 2 4
Direct
0.000 0.000 0.000
0.500 0.500 0.500
0.000 0.000 0.500
0.500 0.500 0.000
0.000 0.500 0.360
0.000 0.500 0.640
0.500 0.000 0.140
0.500 0.000 0.860
```

Values from the calculation:
offset from the most stable computed form: 1.842 eV per formula unit
VASP energy: -42.7 eV per cell
space-group type: Immm (71)
formation energy (no corrections): 0.3905 eV/atom
M_tot: 3.15 μB/cell


Record 20
VASP calculation (PBE-GGA) on a relaxed structure of Tc2IrCl.

Geometry as POSCAR:
```
Tc2IrCl
1.0
2.787 0.000 0.000
0.000 4.898 0.000
0.000 0.000 9.369
Tc Ir Cl
4 2 2
Direct
0.000 0.000 0.000
0.000 0.500 0.244
0.500 0.000 0.244
0.500 0.500 0.000
0.000 0.500 0.766
0.500 0.000 0.766
0.000 0.000 0.459
0.500 0.500 0.459
```

Values from the calculation:
offset from the most stable computed form: 1.149 eV per formula unit
VASP energy: -58.6 eV per cell
space-group type: Cmm2 (35)
formation energy (no corrections): 0.5410 eV/atom
M_tot: 0.00 μB/cell